TlSnSN2, optimized geometry, DFT PBE-GGA; calculated total energy = -19.45 eV/cell; energy relative to the elements, uncorrected = 149 kJ per mole of atoms
1.0
4.3704 0.0000 0.0000
0.0000 4.3704 0.0000
0.0000 0.0000 5.5546
Tl Sn S N
1 1 1 2
Direct
0.0000 0.0000 0.0000 Tl
0.5000 0.5000 0.5000 Sn
0.0000 0.0000 0.5000 S
0.0000 0.5000 0.0000 N
0.5000 0.0000 0.0000 N